[1]
Computed, not measured: an optimized crystal structure of SbMoPd2 at the GGA-PBE level of DFT.

abc: 4.555 4.555 4.555
angles: 60.00 60.00 60.00
Element x y z (fractional)
Sb1 0.500 0.500 0.500
Pd1 0.750 0.750 0.750
Pd2 0.000 0.000 0.000
Mo1 0.250 0.250 0.250

Summary:
Crystal system: cubic

---

[2]
Computed, not measured: an optimized crystal structure of SbMo2Pd at the GGA-PBE level of DFT.

abc: 4.574 4.574 4.574
angles: 60.00 60.00 60.00
Site moments in Bohr magnetons follow the coordinates.
Element x y z (fractional)
Sb1 0.500 0.500 0.500  0.00
Pd1 0.250 0.250 0.250  0.04
Mo1 0.750 0.750 0.750  -0.02
Mo2 0.000 0.000 0.000  0.20

Summary:
Crystal system: cubic

---

[3]
Computed, not measured: an optimized crystal structure of ScMoPd at the GGA-PBE level of DFT.

abc: 4.390 4.390 4.390
angles: 60.00 60.00 60.00
Element x y z (fractional)
Sc1 0.750 0.750 0.750
Mo1 0.250 0.250 0.250
Pd1 0.000 0.000 0.000

Summary:
Distance to the lowest polymorph of the same formula in meV/atom: 0
Crystal system: cubic
E_form in eV/f.u.: 1.0

---

Respective energy values: -6.3758 -7.4797 -7.1189 eV per atom.